Tb2Sm3Se8 | the Alexandria database | GGA-PBE | optimized geometry; energy relative to the elements, uncorrected = -1.6910 eV/atom; SG = C2/m (12); total magnetization = 0.0 μB/cell; Fermi-level density of states = 0.56 states/eV/atom
1.0
7.2345 -4.1775 0.0000
7.2345 4.1775 0.0000
-2.4126 0.0000 6.6762
Tb Sm Se
2 3 8
Cartesian
3.1128 0.0000 1.0663
8.9435 0.0000 5.6099
6.0282 2.1923 3.3381
7.2345 0.0000 0.0000
6.0282 -2.1923 3.3381
0.7723 0.0000 2.6803
5.2126 1.9903 0.5578
4.1117 0.0000 3.8121
6.8437 1.9903 6.1184
5.2126 -1.9903 0.5578
7.9446 0.0000 2.8641
6.8437 -1.9903 6.1184
11.2840 0.0000 3.9959